1.
Density functional theory data (PBE-GGA) for a relaxed structure of Dy3Er2Tm4.

Results
formation enthalpy at 0 K	0.96	eV/f.u.
space group	C2/c (15)
N(E_F)	13.8	states/eV/f.u.

abc: 6.0206 11.0795 11.0795
angles: 61.92 62.33 62.33
Sites, in units of the cell vectors:
Tm1 0.4207 0.5732 0.8538
Tm2 0.0793 0.1462 0.4268
Tm3 0.9218 0.1868 0.9059
Tm4 0.5793 0.4268 0.1462
Tm5 0.4218 0.9059 0.1868
Tm6 0.0782 0.8132 0.0941
Tm7 0.9207 0.8538 0.5732
Tm8 0.5782 0.0941 0.8132
Er1 0.0779 0.4800 0.7615
Er2 0.4221 0.2385 0.5200
Er3 0.5779 0.7615 0.4800
Er4 0.9221 0.5200 0.2385
Dy1 0.7523 0.0690 0.2637
Dy2 0.2477 0.9310 0.7363
Dy3 0.2500 0.5974 0.4026
Dy4 0.7500 0.4026 0.5974
Dy5 0.7477 0.7363 0.9310
Dy6 0.2523 0.2637 0.0690

=====

2.
Density functional theory data (PBE-GGA) for a relaxed structure of Dy3Er7Tm.

Results
energy above the lowest structure with this stoichiometry	0.0000	eV per atom
formation enthalpy at 0 K	1.72	eV/f.u.
space group	P2/m (10)
N(E_F)	18.6	states/eV/f.u.

abc: 8.7615 9.8669 5.4474
angles: 89.99 128.45 106.16
Sites, in units of the cell vectors:
Er1 0.9107 0.8300 0.9107
Er2 0.5000 0.0000 0.5000
Er3 0.0893 0.1700 0.0893
Er4 0.3566 0.7094 0.8565
Er5 0.8186 0.6392 0.3186
Er6 0.6434 0.2906 0.1435
Er7 0.1814 0.3608 0.6814
Tm1 0.5000 0.5000 0.5000
Dy1 0.7811 0.0022 0.2809
Dy2 0.0000 0.5000 0.0000
Dy3 0.2189 0.9978 0.7191

=====

3.
Density functional theory data (PBE-GGA) for a relaxed structure of Dy2Er5Tm5.

Results
formation enthalpy at 0 K	0.30	eV/f.u.
space group	C2/m (12)
N(E_F)	16.5	states/eV/f.u.

abc: 4.9420 7.8181 10.4959
angles: 72.68 76.38 71.58
Sites, in units of the cell vectors:
Er1 0.5839 0.0825 0.7498
Er2 0.3335 0.3331 0.9999
Er3 0.5000 0.5000 0.5000
Er4 0.6665 0.6669 0.0001
Er5 0.4161 0.9175 0.2502
Tm1 0.1671 0.1659 0.5000
Tm2 0.7503 0.2493 0.2502
Tm3 0.0000 0.0000 0.0000
Tm4 0.2497 0.7507 0.7498
Tm5 0.8329 0.8341 0.5000
Dy1 0.0832 0.5830 0.2506
Dy2 0.9168 0.4170 0.7494

=====

4.
Density functional theory data (PBE-GGA) for a relaxed structure of Dy6Er2Tm.

Results
formation enthalpy at 0 K	0.19	eV/f.u.
space group	P4_2/mnm (136)
N(E_F)	11.2	states/eV/f.u.

abc: 4.9823 10.5556 10.5546
angles: 90.00 89.99 90.00
Sites, in units of the cell vectors:
Dy1 0.5000 0.4999 0.3329
Dy2 0.4998 0.8328 0.9997
Dy3 0.5002 0.1660 0.6662
Dy4 0.0000 0.0001 0.8327
Dy5 0.5002 0.1672 0.0003
Dy6 0.0000 0.9999 0.1673
Dy7 0.5000 0.5001 0.6671
Dy8 0.0002 0.3340 0.1663
Dy9 0.9998 0.6672 0.4997
Dy10 0.0002 0.3328 0.5003
Dy11 0.9998 0.6660 0.8337
Dy12 0.4998 0.8340 0.3338
Tm1 0.5000 0.5000 0.0000
Tm2 0.0000 0.0000 0.5000
Er1 0.0002 0.3333 0.8335
Er2 0.9998 0.6667 0.1665
Er3 0.5002 0.1666 0.3337
Er4 0.4998 0.8334 0.6663

=====

5.
Density functional theory data (PBE-GGA) for a relaxed structure of Dy12Er2Tm5.

Results
energy above the lowest structure with this stoichiometry	0.1649	eV per atom
formation enthalpy at 0 K	4.83	eV/f.u.
space group	C2/m (12)
N(E_F)	24.0	states/eV/f.u.

abc: 8.4168 9.2975 8.8879
angles: 100.34 90.00 116.91
Sites, in units of the cell vectors:
Tm1 0.7832 0.5665 0.5072
Tm2 0.0000 0.0000 0.5000
Tm3 0.1908 0.3816 0.9694
Tm4 0.8092 0.6184 0.0306
Tm5 0.2168 0.4335 0.4928
Dy1 0.9649 0.9298 0.8168
Dy2 0.8872 0.3588 0.2109
Dy3 0.4716 0.3588 0.2109
Dy4 0.4176 0.2443 0.7287
Dy5 0.5824 0.7557 0.2713
Dy6 0.1128 0.6412 0.7891
Dy7 0.8266 0.2443 0.7287
Dy8 0.5284 0.6412 0.7891
Dy9 0.0351 0.0702 0.1832
Dy10 0.1734 0.7557 0.2713
Dy11 0.4411 0.8823 0.6208
Dy12 0.5589 0.1177 0.3792
Er1 0.3285 0.0000 0.0000
Er2 0.6715 0.0000 0.0000

=====

6.
Density functional theory data (PBE-GGA) for a relaxed structure of Dy7Er2Tm.

Results
energy above the lowest structure with this stoichiometry	0.0000	eV per atom
formation enthalpy at 0 K	0.20	eV/f.u.
space group	P-1 (2)
N(E_F)	14.0	states/eV/f.u.

abc: 6.0947 10.5564 7.8735
angles: 107.34 104.92 39.71
Sites, in units of the cell vectors:
Dy1 0.9004 0.2998 0.4000
Dy2 0.6997 0.9002 0.1999
Dy3 0.0996 0.7002 0.6000
Dy4 0.2006 0.3997 0.1999
Dy5 0.5000 0.5000 0.0000
Dy6 0.7994 0.6003 0.8001
Dy7 0.3003 0.0998 0.8001
Er1 0.6011 0.1995 0.6000
Er2 0.3989 0.8005 0.4000
Tm1 0.0000 0.0000 0.0000

=====

7.
Density functional theory data (PBE-GGA) for a relaxed structure of DyEr3Tm6.

Results
energy above the lowest structure with this stoichiometry	0.0238	eV per atom
formation enthalpy at 0 K	1.49	eV/f.u.
space group	Cmc2_1 (36)
N(E_F)	14.2	states/eV/f.u.

abc: 6.0863 10.7882 10.7882
angles: 119.75 90.00 90.00
Sites, in units of the cell vectors:
Tm1 0.8613 0.9633 0.5423
Tm2 0.8613 0.4577 0.0367
Tm3 0.5291 0.6174 0.7117
Tm4 0.3613 0.5423 0.9633
Tm5 0.6418 0.2862 0.7138
Tm6 0.9218 0.0487 0.9513
Tm7 0.4218 0.9513 0.0487
Tm8 0.5291 0.2883 0.3826
Tm9 0.0291 0.7117 0.6174
Tm10 0.3613 0.0367 0.4577
Tm11 0.0291 0.3826 0.2883
Tm12 0.1418 0.7138 0.2862
Er1 0.9561 0.0639 0.2802
Er2 0.0713 0.3910 0.6090
Er3 0.5713 0.6090 0.3910
Er4 0.4561 0.9361 0.7198
Er5 0.4561 0.2802 0.0639
Er6 0.9561 0.7198 0.9361
Dy1 0.6574 0.7907 0.2093
Dy2 0.1574 0.2093 0.7907

=====

8.
Density functional theory data (PBE-GGA) for a relaxed structure of Dy2Er5Tm.

Results
energy above the lowest structure with this stoichiometry	0.0000	eV per atom
formation enthalpy at 0 K	0.15	eV/f.u.
space group	Pbam (55)
N(E_F)	9.3	states/eV/f.u.

abc: 4.9515 7.0065 14.0128
angles: 90.00 90.00 90.00
Sites, in units of the cell vectors:
Dy1 0.5000 0.7504 0.3751
Dy2 0.5000 0.7496 0.8751
Dy3 0.5000 0.2496 0.6249
Dy4 0.5000 0.2504 0.1249
Er1 0.0000 0.5004 0.2499
Er2 0.0000 0.0004 0.2501
Er3 0.5000 0.2498 0.8750
Er4 0.0000 0.0000 0.0000
Er5 0.0000 0.5000 0.5000
Er6 0.5000 0.7502 0.1250
Er7 0.0000 0.4996 0.7501
Er8 0.5000 0.2502 0.3750
Er9 0.5000 0.7498 0.6250
Er10 0.0000 0.9996 0.7499
Tm1 0.0000 0.5000 0.0000
Tm2 0.0000 0.0000 0.5000

=====

no.,E (eV for the cell shown)
1,-79.708
2,-48.496
3,-54.081
4,-82.046
5,-81.878
6,-45.616
7,-87.251
8,-72.672